Ir3AuBr, optimized geometry, DFT PBE; energy above the most stable polymorph in this dataset = 552.6 meV/atom; formation energy from raw total energies = 2.411 eV per atom; E = -19.5 eV/cell; density of states at the Fermi level = 12.8 states/eV/cell; total magnetization = 4.4 μB/f.u.; symmetry = Pm-3m (221)
1.0
4.961 0.000 0.000
0.000 4.961 0.000
0.000 0.000 4.961
Ir Au Br
3 1 1
Direct
0.000 0.000 0.500
0.000 0.500 0.000
0.500 0.000 0.000
0.000 0.000 0.000
0.500 0.500 0.500



IrAuBr, optimized geometry, DFT PBE; energy above the most stable polymorph in this dataset = 301.8 meV/atom; formation energy from raw total energies = 0.956 eV per atom; E = -10.9 eV/cell; density of states at the Fermi level = 5.0 states/eV/cell; total magnetization = 0.0 μB/f.u.; symmetry = F-43m (216)
1.0
0.000 3.171 3.171
3.171 0.000 3.171
3.171 3.171 0.000
Ir Au Br
1 1 1
Direct
0.000 0.000 0.000
0.750 0.750 0.750
0.250 0.250 0.250



IrAu2Br, optimized geometry, DFT PBE; energy above the most stable polymorph in this dataset = 292.7 meV/atom; formation energy from raw total energies = 0.744 eV per atom; E = -14.1 eV/cell; density of states at the Fermi level = 2.8 states/eV/cell; total magnetization = 0.2 μB/f.u.; symmetry = Cmmm (65)
1.0
2.779 -4.700 0.000
2.779 4.700 0.000
0.000 0.000 2.815
Ir Au Br
1 2 1
Direct
0.000 0.000 0.000
0.000 0.500 0.500
0.500 0.000 0.500
0.500 0.500 0.000



formation energy from raw total energies of number 3 (IrAu2Br)?
0.744 eV per atom



Repeat the third record exactly.
IrAu2Br, optimized geometry, DFT PBE; energy above the most stable polymorph in this dataset = 292.7 meV/atom; formation energy from raw total energies = 0.744 eV per atom; E = -14.1 eV/cell; density of states at the Fermi level = 2.8 states/eV/cell; total magnetization = 0.2 μB/f.u.; symmetry = Cmmm (65)
1.0
2.779 -4.700 0.000
2.779 4.700 0.000
0.000 0.000 2.815
Ir Au Br
1 2 1
Direct
0.000 0.000 0.000
0.000 0.500 0.500
0.500 0.000 0.500
0.500 0.500 0.000



Which of these has the lowest energy above the most stable polymorph in this dataset?
IrAu2Br



Please write out number 1 again, unchanged.
Ir3AuBr, optimized geometry, DFT PBE; energy above the most stable polymorph in this dataset = 552.6 meV/atom; formation energy from raw total energies = 2.411 eV per atom; E = -19.5 eV/cell; density of states at the Fermi level = 12.8 states/eV/cell; total magnetization = 4.4 μB/f.u.; symmetry = Pm-3m (221)
1.0
4.961 0.000 0.000
0.000 4.961 0.000
0.000 0.000 4.961
Ir Au Br
3 1 1
Direct
0.000 0.000 0.500
0.000 0.500 0.000
0.500 0.000 0.000
0.000 0.000 0.000
0.500 0.500 0.500